(1)
# HfInAsBr2

A relaxed structure of HfInAsBr2 (PBE, the Alexandria database).

Calculated values
The space group is P4/mmm. The uncorrected formation energy is -0.496 eV/atom. Its crystal system is tetragonal.

a b c (Å): 5.365 5.365 5.223
angles (deg): 90.00 90.00 90.00
Fractional positions:
Hf (0.000, 0.000, 0.000)
In (0.500, 0.500, 0.500)
As (0.000, 0.000, 0.500)
Br (0.000, 0.500, 0.000)
Br (0.500, 0.000, 0.000)

(2)
# HfInAsBr2

A relaxed structure of HfInAsBr2 (PBE, the Alexandria database).

Calculated values
The space group is P4/mmm. The uncorrected formation energy is 0.334 eV/atom. Its crystal system is tetragonal.

a b c (Å): 5.472 5.472 5.280
angles (deg): 90.00 90.00 90.00
Fractional positions:
Hf (0.000, 0.000, 0.000)
In (0.500, 0.500, 0.000)
As (0.000, 0.000, 0.500)
Br (0.000, 0.500, 0.500)
Br (0.500, 0.000, 0.500)

(3)
# HfInAsBr2

A relaxed structure of HfInAsBr2 (PBE, the Alexandria database).

Calculated values
The space group is P4/mmm. The uncorrected formation energy is 0.571 eV/atom. Its crystal system is tetragonal.

a b c (Å): 5.269 5.269 5.413
angles (deg): 90.00 90.00 90.00
Fractional positions:
Hf (0.000, 0.000, 0.000)
In (0.500, 0.500, 0.500)
As (0.500, 0.500, 0.000)
Br (0.000, 0.500, 0.500)
Br (0.500, 0.000, 0.500)

(4)
# HfAsIrBr2

A relaxed structure of HfAsIrBr2 (PBE, the Alexandria database).

Calculated values
The space group is P4/mmm. The uncorrected formation energy is 0.700 eV/atom. Its crystal system is tetragonal.

a b c (Å): 4.968 4.968 4.904
angles (deg): 90.00 90.00 90.00
Fractional positions:
Hf (0.000, 0.000, 0.000)
As (0.500, 0.500, 0.000)
Ir (0.500, 0.500, 0.500)
Br (0.000, 0.500, 0.500)
Br (0.500, 0.000, 0.500)

(5)
# HfAsIrBr2

A relaxed structure of HfAsIrBr2 (PBE, the Alexandria database).

Calculated values
The space group is P4/mmm. The uncorrected formation energy is 0.721 eV/atom. Its crystal system is tetragonal.

a b c (Å): 5.084 5.084 5.386
angles (deg): 90.00 90.00 90.00
Fractional positions:
Hf (0.000, 0.000, 0.000)
As (0.000, 0.000, 0.500)
Ir (0.500, 0.500, 0.500)
Br (0.000, 0.500, 0.000)
Br (0.500, 0.000, 0.000)

(6)
# KHfAs2Br

A relaxed structure of KHfAs2Br (PBE, the Alexandria database).

Calculated values
The space group is P4/mmm. The uncorrected formation energy is -0.619 eV/atom. Its crystal system is tetragonal.

a b c (Å): 5.140 5.140 5.732
angles (deg): 90.00 90.00 90.00
Fractional positions:
K (0.000, 0.000, 0.000)
Hf (0.500, 0.500, 0.500)
As (0.000, 0.500, 0.500)
As (0.500, 0.000, 0.500)
Br (0.500, 0.500, 0.000)

(7)
# KHfAs2Br

A relaxed structure of KHfAs2Br (PBE, the Alexandria database).

Calculated values
The space group is P4/mmm. The uncorrected formation energy is 1.235 eV/atom. Its crystal system is tetragonal.

a b c (Å): 5.285 5.285 5.301
angles (deg): 90.00 90.00 90.00
Fractional positions:
K (0.000, 0.000, 0.000)
Hf (0.500, 0.500, 0.500)
As (0.000, 0.500, 0.000)
As (0.500, 0.000, 0.000)
Br (0.000, 0.000, 0.500)

(8)
# HfMoAsBr2

A relaxed structure of HfMoAsBr2 (PBE, the Alexandria database).

Calculated values
The space group is P4/mmm. The uncorrected formation energy is 0.448 eV/atom. Its crystal system is tetragonal.

a b c (Å): 5.172 5.172 5.339
angles (deg): 90.00 90.00 90.00
Fractional positions:
Hf (0.000, 0.000, 0.000)
Mo (0.500, 0.500, 0.500)
As (0.000, 0.000, 0.500)
Br (0.000, 0.500, 0.000)
Br (0.500, 0.000, 0.000)

(9)
# HfMo2AsBr

A relaxed structure of HfMo2AsBr (PBE, the Alexandria database).

Calculated values
The space group is P4/mmm. The uncorrected formation energy is 1.307 eV/atom. Its crystal system is tetragonal.

a b c (Å): 4.723 4.723 5.171
angles (deg): 90.00 90.00 90.00
Fractional positions:
Hf (0.000, 0.000, 0.000)
Mo (0.000, 0.500, 0.500)
Mo (0.500, 0.000, 0.500)
As (0.500, 0.500, 0.500)
Br (0.500, 0.500, 0.000)

(10)
# HfMoAsBr2

A relaxed structure of HfMoAsBr2 (PBE, the Alexandria database).

Calculated values
The space group is P4/mmm. The uncorrected formation energy is 0.770 eV/atom. Its crystal system is tetragonal.

a b c (Å): 5.012 5.012 5.045
angles (deg): 90.00 90.00 90.00
Fractional positions:
Hf (0.000, 0.000, 0.000)
Mo (0.500, 0.500, 0.500)
As (0.500, 0.500, 0.000)
Br (0.000, 0.500, 0.500)
Br (0.500, 0.000, 0.500)

(11)
# HfMoAs2Br

A relaxed structure of HfMoAs2Br (PBE, the Alexandria database).

Calculated values
The space group is P4/mmm. The uncorrected formation energy is 0.649 eV/atom. Its crystal system is tetragonal.

a b c (Å): 5.187 5.187 5.125
angles (deg): 90.00 90.00 90.00
Fractional positions:
Hf (0.000, 0.000, 0.000)
Mo (0.500, 0.500, 0.500)
As (0.000, 0.500, 0.000)
As (0.500, 0.000, 0.000)
Br (0.000, 0.000, 0.500)

(12)
# HfMoAs2Br

A relaxed structure of HfMoAs2Br (PBE, the Alexandria database).

Calculated values
The space group is P4/mmm. The uncorrected formation energy is 0.685 eV/atom. Its crystal system is tetragonal.

a b c (Å): 4.839 4.839 5.096
angles (deg): 90.00 90.00 90.00
Fractional positions:
Hf (0.000, 0.000, 0.000)
Mo (0.500, 0.500, 0.500)
As (0.000, 0.500, 0.500)
As (0.500, 0.000, 0.500)
Br (0.500, 0.500, 0.000)

(13)
# HfAsBr2N

A relaxed structure of HfAsBr2N (PBE, the Alexandria database).

Calculated values
The space group is P4/mmm. The uncorrected formation energy is 0.581 eV/atom. Its crystal system is tetragonal.

a b c (Å): 5.305 5.305 5.253
angles (deg): 90.00 90.00 90.00
Fractional positions:
Hf (0.000, 0.000, 0.000)
As (0.000, 0.000, 0.500)
Br (0.000, 0.500, 0.000)
Br (0.500, 0.000, 0.000)
N (0.500, 0.500, 0.500)

(14)
# HfAsBr2N

A relaxed structure of HfAsBr2N (PBE, the Alexandria database).

Calculated values
The space group is P4/mmm. The uncorrected formation energy is 0.877 eV/atom. Its crystal system is tetragonal.

a b c (Å): 4.310 4.310 5.070
angles (deg): 90.00 90.00 90.00
Fractional positions:
Hf (0.000, 0.000, 0.000)
As (0.500, 0.500, 0.000)
Br (0.000, 0.500, 0.500)
Br (0.500, 0.000, 0.500)
N (0.500, 0.500, 0.500)

(15)
# NaHfAs2Br

A relaxed structure of NaHfAs2Br (PBE, the Alexandria database).

Calculated values
The space group is P4/mmm. The uncorrected formation energy is 0.751 eV/atom. Its crystal system is tetragonal.

a b c (Å): 4.978 4.978 4.929
angles (deg): 90.00 90.00 90.00
Fractional positions:
Na (0.000, 0.000, 0.000)
Hf (0.500, 0.500, 0.500)
As (0.000, 0.500, 0.000)
As (0.500, 0.000, 0.000)
Br (0.000, 0.000, 0.500)

(16)
# NaHfAs2Br

A relaxed structure of NaHfAs2Br (PBE, the Alexandria database).

Calculated values
The space group is P4/mmm. The uncorrected formation energy is -0.457 eV/atom. Its crystal system is tetragonal.

a b c (Å): 5.127 5.127 5.631
angles (deg): 90.00 90.00 90.00
Fractional positions:
Na (0.000, 0.000, 0.000)
Hf (0.500, 0.500, 0.500)
As (0.000, 0.500, 0.500)
As (0.500, 0.000, 0.500)
Br (0.500, 0.500, 0.000)

(17)
# HfNbAs2Br

A relaxed structure of HfNbAs2Br (PBE, the Alexandria database).

Calculated values
The space group is P4/mmm. The uncorrected formation energy is 0.519 eV/atom. Its crystal system is tetragonal.

a b c (Å): 5.017 5.017 4.982
angles (deg): 90.00 90.00 90.00
Fractional positions:
Hf (0.000, 0.000, 0.000)
Nb (0.500, 0.500, 0.500)
As (0.000, 0.500, 0.500)
As (0.500, 0.000, 0.500)
Br (0.500, 0.500, 0.000)

(18)
# HfNbAs2Br

A relaxed structure of HfNbAs2Br (PBE, the Alexandria database).

Calculated values
The space group is P4/mmm. The uncorrected formation energy is 0.514 eV/atom. Its crystal system is tetragonal.

a b c (Å): 5.153 5.153 5.081
angles (deg): 90.00 90.00 90.00
Fractional positions:
Hf (0.000, 0.000, 0.000)
Nb (0.500, 0.500, 0.500)
As (0.000, 0.500, 0.000)
As (0.500, 0.000, 0.000)
Br (0.000, 0.000, 0.500)

(19)
# HfAsOsBr2

A relaxed structure of HfAsOsBr2 (PBE, the Alexandria database).

Calculated values
The space group is P4/mmm. The uncorrected formation energy is 0.924 eV/atom. Its crystal system is tetragonal.

a b c (Å): 5.037 5.037 4.766
angles (deg): 90.00 90.00 90.00
Fractional positions:
Hf (0.000, 0.000, 0.000)
As (0.500, 0.500, 0.000)
Os (0.500, 0.500, 0.500)
Br (0.000, 0.500, 0.500)
Br (0.500, 0.000, 0.500)

(20)
# HfAs2OsBr

A relaxed structure of HfAs2OsBr (PBE, the Alexandria database).

Calculated values
The space group is P4/mmm. The uncorrected formation energy is 0.819 eV/atom. Its crystal system is tetragonal.

a b c (Å): 4.766 4.766 5.061
angles (deg): 90.00 90.00 90.00
Fractional positions:
Hf (0.000, 0.000, 0.000)
As (0.000, 0.500, 0.500)
As (0.500, 0.000, 0.500)
Os (0.500, 0.500, 0.500)
Br (0.500, 0.500, 0.000)

no.,VASP energy (eV for the cell shown)
1,-23.167
2,-19.015
3,-17.834
4,-23.312
5,-23.204
6,-25.116
7,-15.848
8,-26.541
9,-31.404
10,-24.929
11,-28.509
12,-28.334
13,-23.369
14,-21.888
15,-18.488
16,-24.531
17,-28.402
18,-28.423
19,-24.556
20,-28.062